VASP calculation (PBE) on a relaxed Tl2HgPIr crystal.

The structure in POSCAR format:
```
Tl2HgPIr
1.0
5.8275 0.0000 0.0000
0.0000 5.8275 0.0000
0.0000 0.0000 4.7422
Tl Hg P Ir
2 1 1 1
Direct
0.0000 0.5000 0.0000
0.5000 0.0000 0.0000
0.0000 0.0000 0.0000
0.0000 0.0000 0.5000
0.5000 0.5000 0.5000
```

calculated total energy	-12.177	eV/cell
formation energy	688	kJ/mol of formula units
space-group type	P4/mmm
Fermi-level density of states	3.3	states/eV/f.u.